DFT (PBE-GGA) results for a relaxed structure of CrCo2Br.

POSCAR file:
```
CrCo2Br
1.0
3.014 0.000 0.000
0.000 3.082 0.000
0.000 0.000 6.888
Cr Co Br
1 2 1
Cartesian
0.000 0.000 0.000
0.000 0.000 4.290
1.507 1.541 5.385
1.507 0.000 2.019
```

Values from the calculation:
- electronic total energy (eV/atom) = -5.89
- calculated volume (A^3/atom) = 16.00
- energy relative to the lowest polymorph listed for this composition (kcal/mol of atoms) = 0.03
- symmetry = Pmm2
- formation energy (no corrections) (eV/f.u.) = 2.0